VASP calculation (PBE) on a geometry-optimized K3NbSn2O9 structure.

Properties
Space group: P-3m1 (164)
D(E_F) in states/eV/atom: 0.6294
Uncorrected energy in eV/atom: -6.10
Total magnetic moment in μB/cell: 1.684
Uncorrected formation energy in eV/atom: -1.699
Crystal system: trigonal

Structure (POSCAR):
```
K3NbSn2O9
1.0
5.8202 0.0000 0.0000
-2.9101 5.0404 0.0000
0.0000 0.0000 7.1484
K Nb Sn O
3 1 2 9
Direct
0.0000 0.0000 0.0000
0.3333 0.6667 0.6687
0.6667 0.3333 0.3313
0.0000 0.0000 0.5000
0.3333 0.6667 0.1710
0.6667 0.3333 0.8290
0.0000 0.5000 0.0000
0.1635 0.3270 0.3380
0.1635 0.8365 0.3380
0.3270 0.1635 0.6620
0.5000 0.0000 0.0000
0.5000 0.5000 0.0000
0.6730 0.8365 0.3380
0.8365 0.1635 0.6620
0.8365 0.6730 0.6620
```